Below is a geometry-optimized SrH2Pb2 structure, with properties calculated at the PBE level.

Cell lengths 4.514, 4.514, 6.312 Å; angles 69.05, 69.05, 90.00 degrees
Positions (direct):
1 Pb 0.337 0.337 0.326
2 Pb 0.663 0.663 0.674
3 H 0.750 0.250 0.500
4 H 0.250 0.750 0.500
5 Sr 0.000 0.000 0.000

The value obtained for the magnetic moment is 0.00 μB/cell. The value obtained for the offset from the most stable computed form is 349 meV/atom.



Below is a geometry-optimized Sr12H5Pb3 structure, with properties calculated at the PBE level.

Cell lengths 15.167, 15.167, 15.167 Å; angles 109.47, 109.47, 109.47 degrees
Positions (direct):
1 Sr 0.901 0.092 0.881
2 Sr 0.092 0.901 0.381
3 Sr 0.711 0.119 0.019
4 Sr 0.901 0.809 0.519
5 Sr 0.981 0.599 0.191
6 Sr 0.019 0.619 0.711
7 Sr 0.309 0.519 0.401
8 Sr 0.599 0.981 0.691
9 Sr 0.809 0.901 0.019
10 Sr 0.401 0.381 0.592
11 Sr 0.211 0.691 0.092
12 Sr 0.099 0.191 0.481
13 Sr 0.592 0.711 0.691
14 Sr 0.908 0.809 0.789
15 Sr 0.289 0.881 0.981
16 Sr 0.099 0.908 0.119
17 Sr 0.381 0.981 0.789
18 Sr 0.619 0.599 0.908
19 Sr 0.289 0.408 0.809
20 Sr 0.481 0.691 0.099
21 Sr 0.119 0.711 0.519
22 Sr 0.592 0.881 0.401
23 Sr 0.519 0.211 0.119
24 Sr 0.401 0.019 0.309
25 Sr 0.691 0.481 0.599
26 Sr 0.619 0.019 0.211
27 Sr 0.119 0.408 0.099
28 Sr 0.191 0.092 0.711
29 Sr 0.711 0.592 0.191
30 Sr 0.481 0.789 0.881
31 Sr 0.309 0.789 0.408
32 Sr 0.981 0.381 0.289
33 Sr 0.809 0.908 0.289
34 Sr 0.381 0.401 0.092
35 Sr 0.211 0.519 0.619
36 Sr 0.789 0.309 0.908
37 Sr 0.881 0.592 0.901
38 Sr 0.691 0.211 0.592
39 Sr 0.019 0.401 0.809
40 Sr 0.908 0.099 0.619
41 Sr 0.408 0.289 0.309
42 Sr 0.191 0.099 0.981
43 Sr 0.519 0.309 0.901
44 Sr 0.599 0.619 0.408
45 Sr 0.881 0.289 0.481
46 Sr 0.092 0.191 0.211
47 Sr 0.789 0.481 0.381
48 Sr 0.408 0.119 0.599
49 Pb 0.875 0.750 0.125
50 Pb 0.750 0.875 0.625
51 Pb 0.375 0.750 0.625
52 Pb 0.125 0.250 0.875
53 Pb 0.625 0.375 0.750
54 Pb 0.625 0.250 0.375
55 Pb 0.875 0.125 0.250
56 Pb 0.250 0.625 0.875
57 Pb 0.375 0.625 0.250
58 Pb 0.125 0.875 0.750
59 Pb 0.250 0.125 0.375
60 Pb 0.750 0.375 0.125
61 H 0.625 0.875 0.250
62 H 0.125 0.375 0.250
63 H 0.750 0.125 0.875
64 H 0.250 0.375 0.625
65 H 0.000 0.500 0.500
66 H 0.000 0.000 0.000
67 H 0.375 0.125 0.750
68 H 0.875 0.250 0.625
69 H 0.375 0.250 0.125
70 H 0.750 0.625 0.375
71 H 0.250 0.875 0.125
72 H 0.875 0.625 0.750
73 H 0.500 0.500 0.500
74 H 0.000 0.500 0.000
75 H 0.500 0.000 0.000
76 H 0.125 0.750 0.375
77 H 0.500 0.000 0.500
78 H 0.625 0.750 0.875
79 H 0.500 0.500 0.000
80 H 0.000 0.000 0.500

The value obtained for the magnetic moment is 0.00 μB/cell. The raw total energy comes out at -2.752 eV per atom.



Below is a geometry-optimized SrHPb structure, with properties calculated at the PBE level.

Cell lengths 4.213, 4.213, 8.351 Å; angles 90.00, 90.00, 90.00 degrees
Positions (direct):
1 H 0.500 0.500 0.000
2 H 0.000 0.000 0.000
3 Pb 0.000 0.500 0.420
4 Pb 0.500 0.000 0.580
5 Sr 0.000 0.500 0.846
6 Sr 0.500 0.000 0.154

The value obtained for the magnetic moment is 0.00 μB/cell. The value obtained for the offset from the most stable computed form is 0 meV/atom.



Below is a geometry-optimized SrHPb3 structure, with properties calculated at the PBE level.

Cell lengths 6.268, 6.268, 6.268 Å; angles 90.00, 90.00, 90.00 degrees
Positions (direct):
1 Pb 0.000 0.500 0.000
2 Pb 0.500 0.000 0.000
3 Pb 0.000 0.000 0.500
4 H 0.500 0.500 0.500
5 Sr 0.000 0.000 0.000

The value obtained for the magnetic moment is 1.33 μB/cell. The value obtained for the offset from the most stable computed form is 1255 meV/atom.



> Look up the magnetic moment of the first one.

0.00 μB/cell



What did the fourth record say?
Below is a geometry-optimized SrHPb3 structure, with properties calculated at the PBE level.

Cell lengths 6.268, 6.268, 6.268 Å; angles 90.00, 90.00, 90.00 degrees
Positions (direct):
1 Pb 0.000 0.500 0.000
2 Pb 0.500 0.000 0.000
3 Pb 0.000 0.000 0.500
4 H 0.500 0.500 0.500
5 Sr 0.000 0.000 0.000

The value obtained for the magnetic moment is 1.33 μB/cell. The value obtained for the offset from the most stable computed form is 1255 meV/atom.



> What is the formula in the second record?

Sr12H5Pb3



What did the third record say?
Below is a geometry-optimized SrHPb structure, with properties calculated at the PBE level.

Cell lengths 4.213, 4.213, 8.351 Å; angles 90.00, 90.00, 90.00 degrees
Positions (direct):
1 H 0.500 0.500 0.000
2 H 0.000 0.000 0.000
3 Pb 0.000 0.500 0.420
4 Pb 0.500 0.000 0.580
5 Sr 0.000 0.500 0.846
6 Sr 0.500 0.000 0.154

The value obtained for the magnetic moment is 0.00 μB/cell. The value obtained for the offset from the most stable computed form is 0 meV/atom.